[1]
A plane-wave DFT calculation with PBE-GGA was carried out for a relaxed structure of BTe2F.

Calculated values
The calculation puts the uncorrected formation energy at 0.557 eV/f.u. Its energy relative to the lowest polymorph listed for this composition is 0.1489 eV per atom. Its density is 5.1 g cm⁻³. As for the crystal system: trigonal. The value obtained for the density of states at the Fermi level is 0.40 states/eV per atom.

a = 8.348 Å, b = 8.348 Å, c = 8.348 Å
α = 25.14°, β = 25.14°, γ = 25.14°
Fractional positions:
Te  0.085  0.085  0.085
Te  0.915  0.915  0.915
B  0.000  0.000  0.000
F  0.500  0.500  0.500

***

[2]
A plane-wave DFT calculation with PBE-GGA was carried out for a relaxed structure of LaFeTe2.

Calculated values
The calculation puts the uncorrected formation energy at -2.564 eV/f.u. Its density is 6.9 g cm⁻³. As for the crystal system: tetragonal. The value obtained for the density of states at the Fermi level is 1.24 states/eV per atom.

a = 7.774 Å, b = 7.774 Å, c = 6.568 Å
α = 53.72°, β = 53.72°, γ = 90.00°
Last column: magnetic moment on the atom in μB.
Fractional positions:
La  0.750  0.250  0.500  -0.03
La  0.000  0.000  0.000  -0.03
Fe  0.250  0.750  0.500  2.29
Fe  0.500  0.500  0.000  2.32
Te  0.375  0.448  0.750  0.01
Te  0.198  0.625  0.250  0.01
Te  0.875  0.802  0.750  0.01
Te  0.552  0.125  0.250  0.01

***

[3]
A plane-wave DFT calculation with PBE-GGA was carried out for a relaxed structure of Rb2TlO3.

Calculated values
The calculation puts the uncorrected formation energy at -4.019 eV/f.u. Its density is 4.1 g cm⁻³. As for the crystal system: trigonal. The value obtained for the density of states at the Fermi level is 0.40 states/eV per atom.

a = 6.816 Å, b = 6.816 Å, c = 8.606 Å
α = 90.00°, β = 90.00°, γ = 120.00°
Last column: magnetic moment on the atom in μB.
Fractional positions:
Tl  0.333  0.667  0.250  0.03
Tl  0.667  0.333  0.750  0.03
O  0.319  0.159  0.750  0.28
O  0.841  0.681  0.750  0.28
O  0.159  0.841  0.250  0.28
O  0.159  0.319  0.250  0.28
O  0.681  0.841  0.250  0.28
O  0.841  0.159  0.750  0.28
Rb  0.667  0.333  0.251  0.00
Rb  0.000  0.000  0.500  0.00
Rb  0.000  0.000  0.000  0.00
Rb  0.333  0.667  0.749  0.00

***

[4]
A plane-wave DFT calculation with PBE-GGA was carried out for a relaxed structure of RbPbI2.

Calculated values
The calculation puts the uncorrected formation energy at -2.570 eV/f.u. Its energy relative to the lowest polymorph listed for this composition is 0.0000 eV per atom. Its density is 3.8 g cm⁻³. As for the crystal system: tetragonal. The value obtained for the density of states at the Fermi level is 0.38 states/eV per atom.

a = 7.002 Å, b = 7.002 Å, c = 10.854 Å
α = 71.18°, β = 71.18°, γ = 90.00°
Last column: magnetic moment on the atom in μB.
Fractional positions:
Rb  0.250  0.750  0.500  0.00
Rb  0.500  0.500  0.000  0.00
Pb  0.750  0.250  0.500  0.31
Pb  0.000  0.000  0.000  0.32
I  0.676  0.125  0.250  0.01
I  0.375  0.324  0.750  0.02
I  0.074  0.625  0.250  0.01
I  0.875  0.926  0.750  0.02

***

[5]
A plane-wave DFT calculation with PBE-GGA was carried out for a relaxed structure of CaAg2PbCl6.

Calculated values
The calculation puts the uncorrected formation energy at -12.274 eV/f.u. Its density is 3.9 g cm⁻³. As for the crystal system: triclinic. The value obtained for the density of states at the Fermi level is 0.00 states/eV per atom.

a = 7.137 Å, b = 7.090 Å, c = 7.818 Å
α = 90.00°, β = 117.42°, γ = 120.60°
Fractional positions:
Cl  0.480  0.886  0.710
Cl  0.505  0.092  0.229
Cl  0.826  0.723  0.216
Cl  0.102  0.221  0.686
Cl  0.152  0.416  0.234
Cl  0.825  0.600  0.690
Ag  0.468  0.237  0.689
Ag  0.613  0.804  0.387
Ca  0.987  0.495  0.464
Pb  0.007  0.005  0.997

***

[6]
A plane-wave DFT calculation with PBE-GGA was carried out for a relaxed structure of Pm5Sm3Y.

Calculated values
Its energy relative to the lowest polymorph listed for this composition is 0.2045 eV per atom. Its density is 6.1 g cm⁻³. As for the crystal system: monoclinic. The calculation puts the formation energy at 484 meV/atom. The value obtained for the density of states at the Fermi level is 1.55 states/eV per atom.

a = 9.672 Å, b = 9.672 Å, c = 11.853 Å
α = 52.53°, β = 52.53°, γ = 74.48°
Fractional positions:
Y  0.841  0.841  0.408
Y  0.159  0.159  0.592
Pm  0.822  0.822  0.952
Pm  0.178  0.178  0.048
Pm  0.663  0.158  0.739
Pm  0.497  0.497  0.229
Pm  0.503  0.503  0.771
Pm  0.158  0.663  0.739
Pm  0.337  0.842  0.261
Pm  0.253  0.747  0.000
Pm  0.747  0.253  0.000
Pm  0.842  0.337  0.261
Sm  0.000  0.000  0.500
Sm  0.337  0.337  0.648
Sm  0.663  0.663  0.352
Sm  0.313  0.313  0.181
Sm  0.000  0.000  0.000
Sm  0.687  0.687  0.819